Computed, not measured: an optimized crystal structure of CaMnSe2 at the PBE level of DFT.

```
4
Lattice="1.988 1.148 6.818 -1.988 1.148 6.818 0.000 -2.295 6.818" Properties=species:S:1:pos:R:3 pbc="T T T"
Ca 0.000 0.000 0.000
Mn 0.000 0.000 3.451
Se 0.000 0.000 11.751
Se 0.000 0.000 15.550
```

- ΔE_f (raw) (meV per atom) = -1102
- distance to the lowest polymorph of the same formula (meV per atom) = 60
- SG = No. 160
- mass density (g/cm3) = 4.50
- total magnetization (μB per cell) = 5.0


Computed, not measured: an optimized crystal structure of CaMnSe2 at the PBE level of DFT.

```
4
Lattice="-2.024 3.211 3.746 2.024 -3.211 3.746 2.024 3.211 -3.746" Properties=species:S:1:pos:R:3 pbc="T T T"
Ca 0.000 0.000 0.000
Mn 0.000 0.000 3.746
Se 2.024 0.000 2.079
Se 0.000 3.211 1.667
```

- ΔE_f (raw) (meV per atom) = -885
- N(E_F) (states/eV per cell) = 0.468
- distance to the lowest polymorph of the same formula (meV per atom) = 277
- SG = No. 71
- mass density (g/cm3) = 4.31
- total magnetization (μB per cell) = 5.0